Entry 1:
## La3NdTh2Se6 (PBE)

Data for La3NdTh2Se6 after structural relaxation.

a b c (Å): 7.3552 7.3552 7.4025
angles (deg): 99.53 99.53 119.77
Last column: nearest neighbours and their distance in Å.
Atoms (fractional coordinates):
1 La 0.0000 0.0000 0.0000  6 Se 3.04
2 La 0.3349 0.6651 0.0000  6 Se 3.03-3.04
3 La 0.6651 0.3349 0.0000  6 Se 3.03-3.04
4 Nd 0.5000 0.5000 0.5000  6 Se 2.99-3.00
5 Th 0.1669 0.8331 0.5000  6 Se 2.99
6 Th 0.8331 0.1669 0.5000  6 Se 2.99
7 Se 0.0840 0.4183 0.2549  2 Th 2.99, 1 Nd 3.00, 3 La 3.04
8 Se 0.2470 0.2470 0.7433  2 Th 2.99, 1 Nd 2.99, 3 La 3.03-3.04
9 Se 0.4183 0.0840 0.2549  2 Th 2.99, 1 Nd 3.00, 3 La 3.04
10 Se 0.5817 0.9160 0.7451  2 Th 2.99, 1 Nd 3.00, 3 La 3.04
11 Se 0.7530 0.7530 0.2567  2 Th 2.99, 1 Nd 2.99, 3 La 3.03-3.04
12 Se 0.9160 0.5817 0.7451  2 Th 2.99, 1 Nd 3.00, 3 La 3.04

## Properties
DFT total energy in eV/cell: -77.07
Symmetry: C2/m

***

Entry 2:
## Pr7IrS5 (PBE)

Data for Pr7IrS5 after structural relaxation.

a b c (Å): 7.0777 7.0777 24.6782
angles (deg): 90.00 90.00 146.90
Last column: nearest neighbours and their distance in Å.
Atoms (fractional coordinates):
1 Pr 0.0419 0.9581 0.7500  2 Ir 2.89, 2 S 2.92
2 Pr 0.1383 0.8617 0.0360  6 S 2.88-2.91
3 Pr 0.1383 0.8617 0.4640  6 S 2.88-2.91
4 Pr 0.3034 0.6966 0.6785  3 S 2.84-2.96, 2 Ir 3.06
5 Pr 0.3034 0.6966 0.8215  3 S 2.84-2.96, 2 Ir 3.06
6 Pr 0.4127 0.5873 0.1070  5 S 2.88-2.89
7 Pr 0.4127 0.5873 0.3930  5 S 2.88-2.89
8 Pr 0.5873 0.4127 0.6070  5 S 2.88-2.89
9 Pr 0.5873 0.4127 0.8930  5 S 2.88-2.89
10 Pr 0.6966 0.3034 0.1785  3 S 2.84-2.96, 2 Ir 3.06
11 Pr 0.6966 0.3034 0.3215  3 S 2.84-2.96, 2 Ir 3.06
12 Pr 0.8617 0.1383 0.5360  6 S 2.88-2.91
13 Pr 0.8617 0.1383 0.9640  6 S 2.88-2.91
14 Pr 0.9581 0.0419 0.2500  2 Ir 2.89, 2 S 2.92
15 Ir 0.3056 0.6944 0.2500  6 Pr 2.89-3.06
16 Ir 0.6944 0.3056 0.7500  6 Pr 2.89-3.06
17 S 0.0504 0.9496 0.1429  6 Pr 2.89-2.96
18 S 0.0504 0.9496 0.3571  6 Pr 2.89-2.96
19 S 0.2251 0.7749 0.5718  6 Pr 2.84-2.91
20 S 0.2251 0.7749 0.9282  6 Pr 2.84-2.91
21 S 0.5000 0.5000 0.0000  6 Pr 2.89
22 S 0.5000 0.5000 0.5000  6 Pr 2.89
23 S 0.7749 0.2251 0.0718  6 Pr 2.84-2.91
24 S 0.7749 0.2251 0.4282  6 Pr 2.84-2.91
25 S 0.9496 0.0504 0.6429  6 Pr 2.89-2.96
26 S 0.9496 0.0504 0.8571  6 Pr 2.89-2.96

## Properties
DFT total energy in eV/cell: -168.54
Symmetry: Cmcm

***

Entry 3:
## Tm2NiTe (PBE)

Data for Tm2NiTe after structural relaxation.

a b c (Å): 4.0655 4.0655 20.9020
angles (deg): 90.00 90.00 120.00
Last column: nearest neighbours and their distance in Å.
Atoms (fractional coordinates):
1 Tm 0.0000 0.0000 0.0000  3 Ni 2.76
2 Tm 0.0000 0.0000 0.1999  3 Ni 2.71
3 Tm 0.3333 0.6667 0.6667  3 Ni 2.76
4 Tm 0.3333 0.6667 0.8665  3 Ni 2.71
5 Tm 0.6667 0.3333 0.3333  3 Ni 2.76
6 Tm 0.6667 0.3333 0.5332  3 Ni 2.71
7 Ni 0.0000 0.0000 0.5976  6 Tm 2.71-2.76
8 Ni 0.3333 0.6667 0.2643  6 Tm 2.71-2.76
9 Ni 0.6667 0.3333 0.9309  6 Tm 2.71-2.76
10 Te 0.0000 0.0000 0.4336  6 Tm 3.14-3.15, 1 Ni 3.43
11 Te 0.3333 0.6667 0.1003  6 Tm 3.14-3.15, 1 Ni 3.43
12 Te 0.6667 0.3333 0.7669  6 Tm 3.14-3.15, 1 Ni 3.43

## Properties
Energy above the most stable polymorph in this dataset in eV per atom: 0.024
Symmetry: R3m

***

Entry 4:
## YbCeCd2 (PBE)

Data for YbCeCd2 after structural relaxation.

a b c (Å): 5.3914 5.3914 13.1906
angles (deg): 90.00 90.00 120.00
Last column: nearest neighbours and their distance in Å.
Atoms (fractional coordinates):
1 Yb 0.0000 0.0000 0.0000  8 Cd 3.30
2 Yb 0.3333 0.6667 0.6667  8 Cd 3.30
3 Yb 0.6667 0.3333 0.3333  8 Cd 3.30
4 Ce 0.0000 0.0000 0.5000  8 Cd 3.30
5 Ce 0.3333 0.6667 0.1667  8 Cd 3.30
6 Ce 0.6667 0.3333 0.8333  8 Cd 3.30
7 Cd 0.0000 0.0000 0.2499  4 Yb 3.30, 4 Ce 3.30
8 Cd 0.0000 0.0000 0.7501  4 Yb 3.30, 4 Ce 3.30
9 Cd 0.3333 0.6667 0.4168  4 Yb 3.30, 4 Ce 3.30
10 Cd 0.3333 0.6667 0.9165  4 Yb 3.30, 4 Ce 3.30
11 Cd 0.6667 0.3333 0.0835  4 Yb 3.30, 4 Ce 3.30
12 Cd 0.6667 0.3333 0.5832  4 Yb 3.30, 4 Ce 3.30

## Properties
Energy of formation in eV per atom: -0.274
Symmetry: R-3m

***

Entry 5:
## RbInSnTe3 (PBE)

Data for RbInSnTe3 after structural relaxation.

a b c (Å): 9.7764 4.7255 11.2202
angles (deg): 90.00 109.09 90.00
Last column: nearest neighbours and their distance in Å.
Atoms (fractional coordinates):
1 Rb 0.2353 0.2500 0.2390  5 Te 3.67-3.81
2 Rb 0.7647 0.7500 0.7610  5 Te 3.67-3.81
3 In 0.0898 0.2500 0.6379  4 Te 2.75-2.96
4 In 0.9102 0.7500 0.3621  4 Te 2.75-2.96
5 Sn 0.3315 0.7500 0.8913  3 Te 2.95-3.16
6 Sn 0.6685 0.2500 0.1087  3 Te 2.95-3.16
7 Te 0.0802 0.2500 0.8797  1 In 2.75
8 Te 0.2049 0.7500 0.5500  3 In 2.92-2.96
9 Te 0.4840 0.7500 0.1660  3 Sn 2.95-3.16
10 Te 0.5160 0.2500 0.8340  3 Sn 2.95-3.16
11 Te 0.7951 0.2500 0.4500  3 In 2.92-2.96
12 Te 0.9198 0.7500 0.1203  1 In 2.75

## Properties
DFT total energy in eV/cell: -40.32
Symmetry: P2_1/m

***

Entry 6:
## NdSmCo2 (PBE)

Data for NdSmCo2 after structural relaxation.

a b c (Å): 4.8682 4.8682 3.4514
angles (deg): 90.00 90.00 90.00
Last column: nearest neighbours and their distance in Å.
Atoms (fractional coordinates):
1 Nd 0.0000 0.0000 0.0000  8 Co 2.98
2 Sm 0.5000 0.5000 0.0000  8 Co 2.98
3 Co 0.0000 0.5000 0.5000  4 Nd 2.98, 4 Sm 2.98
4 Co 0.5000 0.0000 0.5000  4 Nd 2.98, 4 Sm 2.98

## Properties
Energy above the most stable polymorph in this dataset in eV per atom: 0.104
Energy of formation in eV per atom: 0.024
Symmetry: P4/mmm

***

Entry 7:
## Pu4Ge3O (PBE)

Data for Pu4Ge3O after structural relaxation.

a b c (Å): 5.7454 5.7454 11.2304
angles (deg): 90.00 90.00 90.00
Last column: nearest neighbours and their distance in Å.
Atoms (fractional coordinates):
1 Pu 0.0000 0.0000 0.2083  1 O 2.34
2 Pu 0.0000 0.0000 0.7917  1 O 2.34
3 Pu 0.0000 0.5000 0.0000  4 Ge 2.81-2.87, 2 O 2.87
4 Pu 0.0000 0.5000 0.5000  4 Ge 2.81-2.87, 2 O 2.87
5 Pu 0.5000 0.0000 0.0000  4 Ge 2.81-2.87, 2 O 2.87
6 Pu 0.5000 0.0000 0.5000  4 Ge 2.81-2.87, 2 O 2.87
7 Pu 0.5000 0.5000 0.2917  1 O 2.34
8 Pu 0.5000 0.5000 0.7083  1 O 2.34
9 Ge 0.0000 0.0000 0.5000  4 Pu 2.87
10 Ge 0.0000 0.5000 0.2500  6 Pu 2.81-2.91
11 Ge 0.0000 0.5000 0.7500  6 Pu 2.81-2.91
12 Ge 0.5000 0.0000 0.2500  6 Pu 2.81-2.91
13 Ge 0.5000 0.0000 0.7500  6 Pu 2.81-2.91
14 Ge 0.5000 0.5000 0.0000  4 Pu 2.87
15 O 0.0000 0.0000 0.0000  2 Pu 2.34
16 O 0.5000 0.5000 0.5000  2 Pu 2.34

## Properties
DFT total energy in eV/cell: -163.43
Symmetry: I4/mmm

***

Entry 8:
## Cs6SCl4 (PBE)

Data for Cs6SCl4 after structural relaxation.

a b c (Å): 10.0082 10.0082 10.0082
angles (deg): 90.04 90.04 90.04
Last column: nearest neighbours and their distance in Å.
Atoms (fractional coordinates):
1 Cs 0.0535 0.9261 0.6907  1 S 3.23, 1 Cl 3.56
2 Cs 0.0739 0.3093 0.9465  1 S 3.23, 1 Cl 3.56
3 Cs 0.1907 0.4261 0.5535  1 S 3.23, 1 Cl 3.56
4 Cs 0.3093 0.9465 0.0739  1 S 3.23, 1 Cl 3.56
5 Cs 0.4261 0.5535 0.1907  1 S 3.23, 1 Cl 3.56
6 Cs 0.4465 0.8093 0.5739  1 S 3.23, 1 Cl 3.56
7 Cs 0.5535 0.1907 0.4261  1 S 3.23, 1 Cl 3.56
8 Cs 0.5739 0.4465 0.8093  1 S 3.23, 1 Cl 3.56
9 Cs 0.6907 0.0535 0.9261  1 S 3.23, 1 Cl 3.56
10 Cs 0.8093 0.5739 0.4465  1 S 3.23, 1 Cl 3.56
11 Cs 0.9261 0.6907 0.0535  1 S 3.23, 1 Cl 3.56
12 Cs 0.9465 0.0739 0.3093  1 S 3.23, 1 Cl 3.56
13 S 0.0000 0.0000 0.0000  6 Cs 3.23
14 S 0.5000 0.5000 0.5000  6 Cs 3.23
15 Cl 0.1271 0.7500 0.3729  8 Cs 3.71-4.02
16 Cl 0.2500 0.2500 0.2500  6 Cs 3.56
17 Cl 0.2500 0.6271 0.8729  8 Cs 3.71-4.02
18 Cl 0.3729 0.1271 0.7500  8 Cs 3.71-4.02
19 Cl 0.6271 0.8729 0.2500  8 Cs 3.71-4.02
20 Cl 0.7500 0.3729 0.1271  8 Cs 3.71-4.02
21 Cl 0.7500 0.7500 0.7500  6 Cs 3.56
22 Cl 0.8729 0.2500 0.6271  8 Cs 3.71-4.02

## Properties
DFT total energy in eV/cell: -69.30
Symmetry: R-3c

***

| no. | DOS(E_F) (states/eV per atom) | total magnetization (μB/atom) |
| --- | --- | --- |
| 1 | 0.64 | 0.0000 |
| 2 | 0.70 | 0.0000 |
| 3 | 0.31 | 0.0000 |
| 4 | 2.13 | 0.1983 |
| 5 | 0.22 | 0.0000 |
| 6 | 0.42 | 0.2111 |
| 7 | 4.39 | 0.0408 |
| 8 | 0.00 | 0.0179 |